Entry 1:
DFT (GGA-PBE) results for crystalline ZrSi2Os at its relaxed geometry.

a = 4.0271 Å, b = 4.0271 Å, c = 9.2050 Å
α = 77.36°, β = 77.36°, γ = 90.00°
Atoms (fractional coordinates):
Os  0.7500  0.2500  0.5000
Zr  0.5000  0.5000  0.0000
Zr  0.2500  0.7500  0.5000
Si  0.3750  0.2947  0.7500
Os  0.0000  0.0000  0.0000
Si  0.8750  0.9553  0.7500
Si  0.0447  0.6250  0.2500
Si  0.7053  0.1250  0.2500

The density of states at the Fermi level is 2.3 states/eV/f.u. The raw formation energy comes out at 0 meV per atom.

---

Entry 2:
DFT (GGA-PBE) results for crystalline ZrSiOs2 at its relaxed geometry.

a = 5.2184 Å, b = 5.2184 Å, c = 5.2184 Å
α = 146.80°, β = 126.22°, γ = 64.68°
Atoms (fractional coordinates):
Zr  0.2500  0.7500  0.5000
Os  0.9712  0.9712  0.0000
Os  0.5288  0.5288  0.0000
Si  0.7500  0.2500  0.5000

The density of states at the Fermi level is 3.1 states/eV/f.u. The raw formation energy comes out at -226 meV per atom.

---

Entry 3:
DFT (GGA-PBE) results for crystalline ZrSiOs2 at its relaxed geometry.

a = 2.8885 Å, b = 3.9970 Å, c = 5.4545 Å
α = 90.00°, β = 90.00°, γ = 90.00°
Atoms (fractional coordinates):
Zr  0.5000  0.5000  0.7505
Si  0.0000  0.0000  0.4636
Os  0.5000  0.5000  0.2628
Os  0.0000  0.0000  0.0231

The density of states at the Fermi level is 2.3 states/eV/f.u. The raw formation energy comes out at -146 meV per atom.

---

Entry 4:
DFT (GGA-PBE) results for crystalline ZrSiOs at its relaxed geometry.

a = 6.7865 Å, b = 6.5211 Å, c = 2.9353 Å
α = 82.37°, β = 72.25°, γ = 25.38°
Atoms (fractional coordinates):
Si  0.6562  0.6562  0.3438
Os  0.0136  0.0136  0.9864
Zr  0.3301  0.3301  0.6699

The density of states at the Fermi level is 2.0 states/eV/f.u. The raw formation energy comes out at -78 meV per atom.

---

Entry 5:
DFT (GGA-PBE) results for crystalline Zr3SiOs at its relaxed geometry.

a = 5.0145 Å, b = 5.0145 Å, c = 5.0145 Å
α = 90.00°, β = 90.00°, γ = 90.00°
Atoms (fractional coordinates):
Zr  0.5000  0.0000  0.0000
Si  0.5000  0.5000  0.5000
Os  0.0000  0.0000  0.0000
Zr  0.0000  0.5000  0.0000
Zr  0.0000  0.0000  0.5000

The density of states at the Fermi level is 6.8 states/eV/f.u. The raw formation energy comes out at 457 meV per atom. The energy above the most stable polymorph in this dataset comes out at 0 meV/atom.

---

Entry 6:
DFT (GGA-PBE) results for crystalline ZrSi2Os at its relaxed geometry.

a = 4.1203 Å, b = 3.1598 Å, c = 5.0162 Å
α = 89.95°, β = 90.00°, γ = 90.00°
Atoms (fractional coordinates):
Os  0.5000  0.7500  0.7500
Zr  0.5000  0.2500  0.2500
Si  0.0000  0.7491  0.4959
Si  0.0000  0.7509  0.0041

The density of states at the Fermi level is 2.6 states/eV/f.u. The raw formation energy comes out at -458 meV per atom.

---

Entry 7:
DFT (GGA-PBE) results for crystalline ZrSi2Os at its relaxed geometry.

a = 4.5842 Å, b = 4.5842 Å, c = 4.8772 Å
α = 77.73°, β = 77.73°, γ = 39.76°
Atoms (fractional coordinates):
Si  0.2612  0.2612  0.2014
Zr  0.5025  0.5025  0.4784
Os  0.7347  0.7347  0.8335
Si  0.0015  0.0015  0.9868

The density of states at the Fermi level is 1.2 states/eV/f.u. The raw formation energy comes out at -378 meV per atom.

---

Entry 8:
DFT (GGA-PBE) results for crystalline ZrSi2Os at its relaxed geometry.

a = 4.5036 Å, b = 4.5036 Å, c = 4.5036 Å
α = 60.00°, β = 60.00°, γ = 60.00°
Atoms (fractional coordinates):
Si  0.0000  0.0000  0.0000
Os  0.5000  0.5000  0.5000
Si  0.2500  0.2500  0.2500
Zr  0.7500  0.7500  0.7500

The density of states at the Fermi level is 0.5 states/eV/f.u. The raw formation energy comes out at -97 meV per atom.